1.
# Na3Tm2ScO6 | Alexandria via LeMat-Bulk | PBE | relaxed
# - V: 13.1 Å³ per atom
# - Calculated total energy: -6.9366 eV per atom
# - Formation energy without anion corrections: -2.85 eV per atom
# - Total magnetization: 0.0 Bohr magnetons per cell
data_Na3Tm2ScO6
_cell_length_a 5.725
_cell_length_b 9.920
_cell_length_c 5.854
_cell_angle_alpha 90.00
_cell_angle_beta 108.96
_cell_angle_gamma 90.00
_symmetry_space_group_name_H-M 'C 1 2/m 1'
_symmetry_Int_Tables_number 12
_symmetry_space_group_name_Hall '-C 2y'
loop_
_atom_site_label
_atom_site_type_symbol
_atom_site_fract_x
_atom_site_fract_y
_atom_site_fract_z
Na1 Na 0.000 0.000 0.000
Na2 Na 0.000 0.338 0.000
Tm1 Tm 0.000 0.167 0.500
Sc1 Sc 0.000 0.500 0.500
O1 O 0.230 0.339 0.707
O2 O 0.246 0.000 0.706

=====

2.
# Na4Tm3ScO8 | Alexandria via LeMat-Bulk | PBE | relaxed
# - V: 13.2 Å³ per atom
# - Calculated total energy: -6.8975 eV per atom
# - Formation energy without anion corrections: -2.85 eV per atom
# - Total magnetization: 0.0 Bohr magnetons per cell
data_Na4Tm3ScO8
_cell_length_a 6.6419
_cell_length_b 6.6419
_cell_length_c 16.6306
_cell_angle_alpha 90.00
_cell_angle_beta 90.00
_cell_angle_gamma 120.00
_symmetry_space_group_name_H-M 'R -3 m'
_symmetry_Int_Tables_number 166
_symmetry_space_group_name_Hall '-R 3 2"'
loop_
_atom_site_label
_atom_site_type_symbol
_atom_site_fract_x
_atom_site_fract_y
_atom_site_fract_z
Na1 Na 0.0000 0.0000 0.0000
Na2 Na 0.0000 0.5000 0.0000
Tm1 Tm 0.0000 0.5000 0.5000
Sc1 Sc 0.0000 0.0000 0.5000
O1 O 0.0000 0.0000 0.2365
O2 O 0.0089 0.5044 0.2354

=====

3.
# Na3Sc3UO8 | Alexandria via LeMat-Bulk | PBE | relaxed
# - V: 13.8 Å³ per atom
# - Calculated total energy: -7.7436 eV per atom
# - Formation energy without anion corrections: -2.82 eV per atom
# - Total magnetization: 6.1 Bohr magnetons per cell
data_Na3Sc3UO8
_cell_length_a 6.5183
_cell_length_b 6.5183
_cell_length_c 16.8287
_cell_angle_alpha 90.00
_cell_angle_beta 90.00
_cell_angle_gamma 120.00
_symmetry_space_group_name_H-M 'R -3 m'
_symmetry_Int_Tables_number 166
_symmetry_space_group_name_Hall '-R 3 2"'
loop_
_atom_site_label
_atom_site_type_symbol
_atom_site_fract_x
_atom_site_fract_y
_atom_site_fract_z
Na1 Na 0.0000 0.5000 0.0000
Sc1 Sc 0.0000 0.5000 0.5000
U1 U 0.0000 0.0000 0.5000
O1 O 0.0000 0.0000 0.2331
O2 O 0.0025 0.5012 0.7677